Re3GeC meta-GGA SCAN single point on PBEsol structure; spin magnetization = 0.00 μB/cell; ΔH_f (0 K) = 0.676 eV/atom; volume = 66.7 Å³/cell
1.0
4.056 0.000 0.000
0.000 4.056 0.000
0.000 0.000 4.056
Re Ge C
3 1 1
direct
0.000 0.000 0.500 Re
0.000 0.500 0.000 Re
0.500 0.000 0.000 Re
0.500 0.500 0.500 Ge
0.000 0.000 0.000 C



Er3Tl2Cu5S8 meta-GGA SCAN single point on PBEsol structure; spin magnetization = 0.00 μB/cell; uncorrected formation energy = -1.18 eV/atom; volume = 343.4 Å³/cell
1.0
6.788 -1.921 0.000
6.788 1.921 0.000
-5.134 0.000 13.171
Er Tl Cu S
3 2 5 8
direct
0.000 0.000 0.000 Er
0.137 0.137 0.387 Er
0.297 0.297 0.768 Er
0.332 0.332 0.174 Tl
0.964 0.964 0.586 Tl
0.353 0.353 0.382 Cu
0.547 0.547 0.844 Cu
0.614 0.614 0.191 Cu
0.678 0.678 0.582 Cu
0.749 0.749 0.925 Cu
0.018 0.018 0.190 S
0.273 0.273 0.576 S
0.348 0.348 0.970 S
0.529 0.529 0.434 S
0.643 0.643 0.026 S
0.654 0.654 0.745 S
0.759 0.759 0.341 S
0.949 0.949 0.799 S